DFT (GGA-PBE) results for a relaxed structure of Li2Dy2Pt3.

Values from the calculation:
Energy: -5.3354 eV per atom
Energy relative to the elements: -6.19 eV per formula unit

Cell: 8.3426 4.8093 7.5173 Å, 90.00 111.69 90.00°
Positions (direct):
Li 0.1314 0.0000 0.3945
Li 0.3686 0.5000 0.6055
Li 0.6314 0.5000 0.3945
Li 0.8686 0.0000 0.6055
Dy 0.1109 0.5000 0.8327
Dy 0.3891 0.0000 0.1673
Dy 0.6109 0.0000 0.8327
Dy 0.8891 0.5000 0.1673
Pt 0.0000 0.0000 0.0000
Pt 0.2464 0.5000 0.2395
Pt 0.2536 0.0000 0.7605
Pt 0.5000 0.5000 0.0000
Pt 0.7464 0.0000 0.2395
Pt 0.7536 0.5000 0.7605